The following is a GGA-PBE calculation of crystalline Ac8Ni2Pd at its relaxed geometry, from the Alexandria database.

formation energy: -50 meV per atom
VASP energy: -50.173 eV for the cell shown
calculated density: 7.782 g/cm3

Unit cell a=8.958 b=7.822 c=7.578 alpha=90.77 beta=90.00 gamma=124.93
Positions (direct):
Ac  0.838  0.247  0.151
Ac  0.408  0.247  0.151
Ac  0.162  0.753  0.849
Ac  0.349  0.697  0.339
Ac  0.592  0.753  0.849
Ac  0.885  0.771  0.330
Ac  0.115  0.229  0.670
Ac  0.651  0.303  0.661
Ni  0.878  0.756  0.712
Ni  0.122  0.244  0.288
Pd  0.000  0.000  0.000


The following is a GGA-PBE calculation of crystalline AcNiPd at its relaxed geometry, from the Alexandria database.

formation energy: -207 meV per atom
offset from the most stable computed form: 0.326 eV per atom
VASP energy: -15.705 eV for the cell shown
calculated density: 10.098 g/cm3

Unit cell a=3.661 b=3.661 c=5.463 alpha=109.58 beta=109.58 gamma=90.00
Positions (direct):
Ni  0.311  0.311  0.622
Ac  0.617  0.617  0.234
Pd  0.922  0.922  0.844